Record 1
# HfTaAlS2

Crystalline HfTaAlS2 at its relaxed geometry (PBE, the Alexandria database).

Cell lengths 4.4885, 4.4885, 4.9807 Å; angles 90.00, 90.00, 90.00 degrees
Last column: nearest neighbours and their distance in Å.
Atoms (fractional coordinates):
1 Hf 0.0000 0.0000 0.0000  4 Ta 3.17, 8 S 3.35
2 Ta 0.5000 0.5000 0.0000  2 Al 2.49
3 Al 0.5000 0.5000 0.5000  4 S 2.24, 2 Ta 2.49
4 S 0.0000 0.5000 0.5000  2 Al 2.24
5 S 0.5000 0.0000 0.5000  2 Al 2.24

Properties
crystal system = tetragonal
formation energy from raw total energies = 680 meV/atom
D(E_F) = 1.0617 states/eV per atom
energy = -6.081 eV per atom
V = 20.07 Å³/atom

=====

Record 2
# LaSmAgAu

Crystalline LaSmAgAu at its relaxed geometry (PBE, the Alexandria database).

Cell lengths 3.7237, 3.7237, 7.5769 Å; angles 90.00, 90.00, 90.00 degrees
Last column: nearest neighbours and their distance in Å.
Atoms (fractional coordinates):
1 La 0.0000 0.0000 0.0000  4 Au 3.29, 4 Ag 3.35
2 Sm 0.0000 0.0000 0.5123  4 Au 3.14, 4 Ag 3.19
3 Ag 0.5000 0.5000 0.2736  4 Sm 3.19, 4 La 3.35, 1 Au 3.52
4 Au 0.5000 0.5000 0.7386  4 Sm 3.14, 4 La 3.29

Properties
formation energy from the elements = -51.68 kJ/mol of atoms
crystal system = tetragonal
relative energy among the computed polymorphs = 0 meV/atom
D(E_F) = 0.7333 states/eV per atom
energy = -4.479 eV per atom
V = 26.26 Å³/atom

=====

Record 3
# CsPa2Au2Se6

Crystalline CsPa2Au2Se6 at its relaxed geometry (PBE, the Alexandria database).

Cell lengths 7.7013, 7.8370, 7.9504 Å; angles 64.00, 62.19, 60.97 degrees
Last column: nearest neighbours and their distance in Å.
Atoms (fractional coordinates):
1 Cs 0.0000 0.0000 0.0000  6 Se 3.46-3.53
2 Pa 0.3381 0.3431 0.9766  6 Se 2.80-2.88
3 Pa 0.6619 0.6569 0.0234  6 Se 2.80-2.88
4 Au 0.4551 0.6758 0.5535  3 Se 2.54-2.67
5 Au 0.5449 0.3242 0.4465  3 Se 2.54-2.67
6 Se 0.0693 0.6648 0.7698  1 Au 2.67, 2 Pa 2.80-2.84
7 Se 0.3060 0.5370 0.2285  1 Au 2.58, 2 Pa 2.84-2.87
8 Se 0.4977 0.0502 0.7712  1 Au 2.54
9 Se 0.5023 0.9498 0.2288  1 Au 2.54
10 Se 0.6940 0.4630 0.7715  1 Au 2.58, 2 Pa 2.84-2.87
11 Se 0.9307 0.3352 0.2302  1 Au 2.67, 2 Pa 2.80-2.84

Properties
crystal system = triclinic
formation energy from raw total energies = -929 meV/atom
D(E_F) = 0.5284 states/eV per atom
energy = -5.230 eV per atom
V = 32.45 Å³/atom

=====

Record 4
# LaLuSn2

Crystalline LaLuSn2 at its relaxed geometry (PBE, the Alexandria database).

Cell lengths 4.0107, 4.0107, 6.9762 Å; angles 90.00, 90.00, 90.00 degrees
Last column: nearest neighbours and their distance in Å.
Atoms (fractional coordinates):
1 La 0.0000 0.0000 0.0000  8 Sn 3.45, 2 Lu 3.49
2 Lu 0.0000 0.0000 0.5000  8 Sn 3.22, 2 La 3.49
3 Sn 0.5000 0.5000 0.2812  1 Sn 3.05, 4 Lu 3.22
4 Sn 0.5000 0.5000 0.7188  1 Sn 3.05, 4 Lu 3.22

Properties
formation energy from the elements = -60.70 kJ/mol of atoms
crystal system = tetragonal
D(E_F) = 0.8617 states/eV per atom
energy = -4.993 eV per atom
V = 28.05 Å³/atom

=====

Record 5
# FeTcAg2

Crystalline FeTcAg2 at its relaxed geometry (PBE, the Alexandria database).

Cell lengths 3.8125, 3.8125, 4.3233 Å; angles 90.00, 90.00, 90.00 degrees
Last column: nearest neighbours and their distance in Å.
Atoms (fractional coordinates):
1 Fe 0.0000 0.0000 0.0000  4 Tc 2.70, 8 Ag 2.88
2 Tc 0.5000 0.5000 0.0000  4 Fe 2.70, 8 Ag 2.88
3 Ag 0.0000 0.5000 0.5000  4 Ag 2.70, 4 Fe 2.88, 4 Tc 2.88
4 Ag 0.5000 0.0000 0.5000  4 Ag 2.70, 4 Fe 2.88, 4 Tc 2.88

Properties
formation energy from the elements = 61.32 kJ/mol of atoms
crystal system = tetragonal
relative energy among the computed polymorphs = 335 meV/atom
D(E_F) = 1.2260 states/eV per atom
energy = -5.497 eV per atom
V = 15.71 Å³/atom